This record from Alexandria describes an optimized crystal structure of LaPm3Ho5. The functional is PBE.

abc: 19.3277 6.0552 11.3195
angles: 90.00 112.84 90.00
Space group C2/c (No. 15)
Symmetry-distinct sites (fractional):
La 0.0000 0.1249 0.2500 (multiplicity 4)
Pm 0.0000 0.0000 0.0000 (multiplicity 4)
Pm 0.1788 0.2242 0.3626 (multiplicity 8)
Ho 0.0000 0.3877 0.7500 (multiplicity 4)
Ho 0.1625 0.2582 0.6969 (multiplicity 8)
Ho 0.1702 0.2620 0.0304 (multiplicity 8)

Properties
size of the total moment	0.000	μB per formula unit
Fermi-level density of states	54.13	states/eV per cell
energy of formation from the pure elements	0.31	eV per atom